This record from the Alexandria database describes crystalline HoPd2Pt5 at its relaxed geometry. The functional is PBE.

Geometry as extended XYZ:
```
16
Lattice="5.711 0.000 0.000 0.000 11.577 0.000 0.000 0.000 3.994" Properties=species:S:1:pos:R:3 pbc="T T T"
Ho 0.000 0.000 0.000
Ho 2.856 5.789 0.000
Pd 1.420 1.453 1.997
Pd 1.435 7.242 1.997
Pd 4.276 4.336 1.997
Pd 4.291 10.124 1.997
Pt 0.000 5.789 0.000
Pt 0.081 8.707 0.000
Pt 1.349 4.292 1.997
Pt 1.507 10.080 1.997
Pt 2.775 2.919 0.000
Pt 2.856 0.000 0.000
Pt 2.936 8.658 0.000
Pt 4.204 1.497 1.997
Pt 4.363 7.286 1.997
Pt 5.631 2.870 0.000
```

Values from the calculation:
Raw total energy (eV/atom): -6.1216
N(E_F) (states/eV/cell): 26.834
Energy of formation (eV per atom): -0.48
Crystal system: orthorhombic